[1]
Compound: InTcSe2
Source: the Alexandria database
Functional: PBEsol
Structure: optimized geometry

Computed properties:
- symmetry = Amm2 (38)
- total energy (eV for the cell shown) = -22.01
- N(E_F) (states/eV per cell) = 2.541
- ΔE_f (raw) (eV per atom) = -0.01

Lattice parameters (Å, degrees): 3.054 4.640 6.182 112.00 90.00 90.00
Element x y z (fractional)
Se 0.500 0.567 0.260
Se 0.000 0.944 0.013
Tc 0.000 0.732 0.590
In 0.500 0.256 0.638

[2]
Compound: InTcSe2
Source: the Alexandria database
Functional: PBEsol
Structure: optimized geometry

Computed properties:
- symmetry = F-43m (216)
- total energy (eV for the cell shown) = -19.45
- N(E_F) (states/eV per cell) = 2.192
- ΔE_f (raw) (eV per atom) = 0.62

Lattice parameters (Å, degrees): 4.681 4.681 4.681 60.00 60.00 60.00
Element x y z (fractional)
Se 0.750 0.750 0.750
In 0.500 0.500 0.500
Tc 0.250 0.250 0.250
Se 0.000 0.000 0.000

[3]
Compound: InTcSe3
Source: the Alexandria database
Functional: PBEsol
Structure: optimized geometry

Computed properties:
- symmetry = Pm-3m (221)
- total energy (eV for the cell shown) = -25.15
- N(E_F) (states/eV per cell) = 4.729
- ΔE_f (raw) (eV per atom) = 0.13

Lattice parameters (Å, degrees): 4.867 4.867 4.867 90.00 90.00 90.00
Element x y z (fractional)
In 0.500 0.500 0.500
Se 0.500 0.000 0.000
Se 0.000 0.500 0.000
Tc 0.000 0.000 0.000
Se 0.000 0.000 0.500

[4]
Compound: InTcSe
Source: the Alexandria database
Functional: PBEsol
Structure: optimized geometry

Computed properties:
- symmetry = F-43m (216)
- total energy (eV for the cell shown) = -15.70
- N(E_F) (states/eV per cell) = 1.898
- ΔE_f (raw) (eV per atom) = 0.80

Lattice parameters (Å, degrees): 4.427 4.427 4.427 60.00 60.00 60.00
Element x y z (fractional)
In 0.500 0.500 0.500
Se 0.250 0.250 0.250
Tc 0.000 0.000 0.000

[5]
Compound: InTc3Se
Source: the Alexandria database
Functional: PBEsol
Structure: optimized geometry

Computed properties:
- symmetry = Pm-3m (221)
- total energy (eV for the cell shown) = -36.07
- N(E_F) (states/eV per cell) = 4.633
- ΔE_f (raw) (eV per atom) = 0.91

Lattice parameters (Å, degrees): 4.501 4.501 4.501 90.00 90.00 90.00
Element x y z (fractional)
Tc 0.000 0.500 0.000
Se 0.000 0.000 0.000
In 0.500 0.500 0.500
Tc 0.500 0.000 0.000
Tc 0.000 0.000 0.500

[6]
Compound: InTcSe2
Source: the Alexandria database
Functional: PBEsol
Structure: optimized geometry

Computed properties:
- symmetry = P4mm (99)
- total energy (eV for the cell shown) = -22.05
- N(E_F) (states/eV per cell) = 1.866
- ΔE_f (raw) (eV per atom) = -0.02

Lattice parameters (Å, degrees): 3.050 3.050 8.248 90.00 90.00 90.00
Element x y z (fractional)
Se 0.000 0.000 0.978
Tc 0.000 0.000 0.482
In 0.500 0.500 0.717
Se 0.500 0.500 0.323

[7]
Compound: InTe2Se
Source: the Alexandria database
Functional: PBEsol
Structure: optimized geometry

Computed properties:
- symmetry = P4/mmm (123)
- total energy (eV for the cell shown) = -13.31
- N(E_F) (states/eV per cell) = 3.052
- ΔE_f (raw) (eV per atom) = 0.14

Lattice parameters (Å, degrees): 3.586 3.586 7.667 90.00 90.00 90.00
Element x y z (fractional)
Te 0.000 0.000 0.256
Te 0.000 0.000 0.744
Se 0.500 0.500 0.500
In 0.500 0.500 0.000

[8]
Compound: InTeSe3
Source: the Alexandria database
Functional: PBEsol
Structure: optimized geometry

Computed properties:
- symmetry = Pm-3m (221)
- total energy (eV for the cell shown) = -16.80
- N(E_F) (states/eV per cell) = 5.376
- energy above the most stable polymorph in this dataset (meV/atom) = 0.0
- ΔE_f (raw) (eV per atom) = 0.25

Lattice parameters (Å, degrees): 5.316 5.316 5.316 90.00 90.00 90.00
Element x y z (fractional)
Se 0.000 0.000 0.500
Se 0.000 0.500 0.000
Te 0.000 0.000 0.000
In 0.500 0.500 0.500
Se 0.500 0.000 0.000

[9]
Compound: In2TeSe
Source: the Alexandria database
Functional: PBEsol
Structure: optimized geometry

Computed properties:
- symmetry = P4/mmm (123)
- total energy (eV for the cell shown) = -13.97
- N(E_F) (states/eV per cell) = 1.562
- energy above the most stable polymorph in this dataset (meV/atom) = 183.1
- ΔE_f (raw) (eV per atom) = -0.16

Lattice parameters (Å, degrees): 3.618 3.618 7.630 90.00 90.00 90.00
Element x y z (fractional)
In 0.000 0.000 0.225
In 0.000 0.000 0.775
Se 0.500 0.500 0.000
Te 0.500 0.500 0.500

[10]
Compound: In3TeSe
Source: the Alexandria database
Functional: PBEsol
Structure: optimized geometry

Computed properties:
- symmetry = Pm-3m (221)
- total energy (eV for the cell shown) = -13.86
- N(E_F) (states/eV per cell) = 1.583
- ΔE_f (raw) (eV per atom) = 0.49

Lattice parameters (Å, degrees): 5.635 5.635 5.635 90.00 90.00 90.00
Element x y z (fractional)
Te 0.000 0.000 0.000
In 0.500 0.000 0.000
Se 0.500 0.500 0.500
In 0.000 0.500 0.000
In 0.000 0.000 0.500

Question: What is the N(E_F) in the sixth record?
Answer: 1.866 states/eV per cell

Question: Among the records above, which one has the lowest total energy?
Answer: InTc3Se